Material: NaCdN
Method: DFT, PBE
State: relaxed

Calculated values
Total magnetization ... 0.0 Bohr magnetons per cell
Space-group type ... Cmc2_1 (36)
Raw formation energy ... 0.31 eV/atom

a = 3.8336 Å, b = 3.8336 Å, c = 8.6296 Å
α = 90.00°, β = 90.00°, γ = 120.30°
Atoms (fractional coordinates):
N1 0.3318 0.6682 0.0603
Cd1 0.0003 0.9997 0.5258
Na1 0.6689 0.3311 0.2586
N2 0.6682 0.3318 0.5603
Na2 0.3311 0.6689 0.7586
Cd2 0.9997 0.0003 0.0258